## Tm2OsAuC (GGA-PBE)

Data for Tm2OsAuC after structural relaxation.

abc: 4.9020 4.9020 3.8743
angles: 90.00 90.00 90.00
Closest atoms and distances in Å follow each position.
Atoms (fractional coordinates):
Tm 0.0000 0.5000 0.0000  2 C 2.45
Tm 0.5000 0.0000 0.0000  2 C 2.45
Os 0.0000 0.0000 0.5000  2 C 1.94
Au 0.5000 0.5000 0.5000  8 Tm 3.12, 4 Os 3.47
C 0.0000 0.0000 0.0000  2 Os 1.94

Magnetic moment ... 0.000 μB/cell
DFT formation energy ... -276.1 kJ/mol of formula units
DFT total energy ... -0.2612 Ha/atom

## Li2AcIO6 (GGA-PBE)

Data for Li2AcIO6 after structural relaxation.

abc: 6.3828 6.3828 6.3828
angles: 48.74 48.74 48.74
Closest atoms and distances in Å follow each position.
Atoms (fractional coordinates):
Li 0.1911 0.1911 0.1911  3 O 2.00
Li 0.8089 0.8089 0.8089  3 O 2.00
Ac 0.0000 0.0000 0.0000  6 O 2.51
I 0.5000 0.5000 0.5000  6 O 1.91
O 0.1418 0.7358 0.4285  1 I 1.91, 1 Li 2.00
O 0.2642 0.5715 0.8582  1 I 1.91, 1 Li 2.00
O 0.4285 0.1418 0.7358  1 I 1.91, 1 Li 2.00
O 0.5715 0.8582 0.2642  1 I 1.91, 1 Li 2.00
O 0.7358 0.4285 0.1418  1 I 1.91, 1 Li 2.00
O 0.8582 0.2642 0.5715  1 I 1.91, 1 Li 2.00

E_form (uncorrected) ... -1.75 eV per atom
Magnetic moment ... 0.000 μB/cell
DFT total energy ... -0.2083 Ha/atom

Which value of magnetic moment does entry 2 give? 0.000 μB/cell